Record 1
A relaxed PaAu3O8 crystal. Source: Alexandria via LeMat-Bulk, functional PBE.

```
data_PaAu3O8
_space_group_name_H-M_alt 'P 1'
_space_group_IT_number 1
_cell_length_a 4.554
_cell_length_b 6.676
_cell_length_c 6.870
_cell_angle_alpha 74.31
_cell_angle_beta 71.44
_cell_angle_gamma 84.27
loop_
_space_group_symop_operation_xyz
'x,y,z'
loop_
_atom_site_label
_atom_site_fract_x
_atom_site_fract_y
_atom_site_fract_z
Pa1 0.000 0.000 0.000
Au1 0.480 0.505 0.803
Au2 0.676 0.029 0.631
Au3 0.846 0.402 0.224
O1 0.071 0.344 0.923
O2 0.162 0.023 0.668
O3 0.399 0.475 0.116
O4 0.523 0.005 0.949
O5 0.597 0.364 0.542
O6 0.805 0.718 0.675
O7 0.819 0.082 0.309
O8 0.886 0.707 0.156
```

## Properties
DOS(E_F) (states/eV per cell): 4.864
Energy relative to the elements, uncorrected (eV per atom): -0.7471
Size of the total moment (μB per formula unit): 0.0
Crystal system: triclinic

Record 2
A relaxed PaAuO3 crystal. Source: Alexandria via LeMat-Bulk, functional PBE.

```
data_PaAuO3
_space_group_name_H-M_alt 'P m -3 m'
_space_group_IT_number 221
_space_group_name_Hall '-P 4 2 3'
_cell_length_a 4.341
_cell_length_b 4.341
_cell_length_c 4.341
_cell_angle_alpha 90.00
_cell_angle_beta 90.00
_cell_angle_gamma 90.00
loop_
_atom_site_label
_atom_site_fract_x
_atom_site_fract_y
_atom_site_fract_z
Pa1 0.000 0.000 0.000
Au1 0.500 0.500 0.500
O1 0.000 0.000 0.500
```

## Properties
DOS(E_F) (states/eV per cell): 2.690
Energy relative to the elements, uncorrected (eV per atom): -2.1307
Size of the total moment (μB per formula unit): 0.0
Crystal system: cubic

Record 3
A relaxed Pa2AuO8 crystal. Source: Alexandria via LeMat-Bulk, functional PBE.

```
data_Pa2AuO8
_space_group_name_H-M_alt 'C 1 2/m 1'
_space_group_IT_number 12
_cell_length_a 6.002
_cell_length_b 11.332
_cell_length_c 5.258
_cell_angle_alpha 90.00
_cell_angle_beta 108.09
_cell_angle_gamma 90.00
loop_
_space_group_symop_operation_xyz
'x,y,z'
'-x,-y,-z'
'-x,y,-z'
'x,-y,z'
'x+1/2,y+1/2,z'
'-x+1/2,-y+1/2,-z'
'-x+1/2,y+1/2,-z'
'x+1/2,-y+1/2,z'
loop_
_atom_site_label
_atom_site_fract_x
_atom_site_fract_y
_atom_site_fract_z
Pa1 0.000 0.169 0.000
Au1 0.000 0.500 0.500
O1 0.000 0.331 0.500
O2 0.173 0.000 0.229
O3 0.238 0.324 0.174
```

## Properties
DOS(E_F) (states/eV per cell): 4.327
Energy relative to the elements, uncorrected (eV per atom): -1.8823
Size of the total moment (μB per formula unit): 3.0
Crystal system: monoclinic

Record 4
A relaxed PaAuO5 crystal. Source: Alexandria via LeMat-Bulk, functional PBE.

```
data_PaAuO5
_space_group_name_H-M_alt 'C 1 2/c 1'
_space_group_IT_number 15
_cell_length_a 8.784
_cell_length_b 7.496
_cell_length_c 6.837
_cell_angle_alpha 90.00
_cell_angle_beta 93.20
_cell_angle_gamma 90.00
loop_
_space_group_symop_operation_xyz
'x,y,z'
'-x,-y,-z'
'-x,y,-z+1/2'
'x,-y,z+1/2'
'x+1/2,y+1/2,z'
'-x+1/2,-y+1/2,-z'
'-x+1/2,y+1/2,-z+1/2'
'x+1/2,-y+1/2,z+1/2'
loop_
_atom_site_label
_atom_site_fract_x
_atom_site_fract_y
_atom_site_fract_z
Pa1 0.000 0.030 0.250
Au1 0.000 0.500 0.000
O1 0.000 0.344 0.250
O2 0.057 0.294 0.679
O3 0.144 0.015 0.996
```

## Properties
Energy relative to the elements, uncorrected (eV per atom): -1.6617
Size of the total moment (μB per formula unit): 0.0
Crystal system: monoclinic

Record 5
A relaxed Pa2AuO6 crystal. Source: Alexandria via LeMat-Bulk, functional PBE.

```
data_Pa2AuO6
_space_group_name_H-M_alt 'I m m m'
_space_group_IT_number 71
_space_group_name_Hall '-I 2 2'
_cell_length_a 3.753
_cell_length_b 6.065
_cell_length_c 11.413
_cell_angle_alpha 90.00
_cell_angle_beta 90.00
_cell_angle_gamma 90.00
loop_
_atom_site_label
_atom_site_fract_x
_atom_site_fract_y
_atom_site_fract_z
Pa1 0.000 0.000 0.180
Au1 0.000 0.500 0.000
O1 0.000 0.184 0.000
O2 0.000 0.289 0.320
```

## Properties
DOS(E_F) (states/eV per cell): 8.700
Energy relative to the elements, uncorrected (eV per atom): -2.6171
Size of the total moment (μB per formula unit): 0.6
Crystal system: orthorhombic

Record 6
A relaxed PaAuO2 crystal. Source: Alexandria via LeMat-Bulk, functional PBE.

```
data_PaAuO2
_space_group_name_H-M_alt 'R -3 m'
_space_group_IT_number 166
_space_group_name_Hall '-R 3 2"'
_cell_length_a 3.6091
_cell_length_b 3.6091
_cell_length_c 22.9711
_cell_angle_alpha 90.00
_cell_angle_beta 90.00
_cell_angle_gamma 120.00
loop_
_atom_site_label
_atom_site_fract_x
_atom_site_fract_y
_atom_site_fract_z
Pa1 0.0000 0.0000 0.0000
Au1 0.0000 0.0000 0.5000
O1 0.0000 0.0000 0.3699
```

## Properties
DOS(E_F) (states/eV per cell): 11.786
Energy relative to the elements, uncorrected (eV per atom): -2.0690
Size of the total moment (μB per formula unit): 0.7
Crystal system: trigonal